{"formula": "ZnIn3Bi", "functional": "SCAN", "state": "single point on PBEsol structure", "lattice": [[5.142, 0.000, 0.000], [0.000, 5.142, 0.000], [0.000, 0.000, 5.142]], "species": ["Zn", "In", "In", "In", "Bi"], "fractional_positions": [[0.000, 0.000, 0.000], [0.000, 0.000, 0.500], [0.000, 0.500, 0.000], [0.500, 0.000, 0.000], [0.500, 0.500, 0.500]], "energy_ev_per_fu": -191.1, "m_tot_mub_per_fu": 0.0, "e_form_mev_per_atom": 226}